Ba2TcSe | PBE | relaxed

Unit cell a=7.745 b=7.745 c=7.745 alpha=90.00 beta=90.00 gamma=90.00
Positions (direct):
Ba: 0.000 0.000 0.000
Ba: 0.000 0.500 0.500
Ba: 0.250 0.250 0.250
Ba: 0.250 0.750 0.750
Ba: 0.500 0.000 0.500
Ba: 0.500 0.500 0.000
Ba: 0.750 0.250 0.750
Ba: 0.750 0.750 0.250
Tc: 0.250 0.250 0.750
Tc: 0.250 0.750 0.250
Tc: 0.750 0.250 0.250
Tc: 0.750 0.750 0.750
Se: 0.000 0.000 0.500
Se: 0.000 0.500 0.000
Se: 0.500 0.000 0.000
Se: 0.500 0.500 0.500

Output
size of the total moment	0.654	μB/atom
formation energy without anion corrections	1.5	eV/f.u.
energy	-4.043	eV per atom
SG	F-43m, No. 216